[1]
The following is a DFT calculation (GGA-PBE) of a relaxed structure of MnInFe2.

Raw total energy   -6.996 eV/atom
E_form   0.21 eV per atom

abc: 3.773 3.773 4.025
angles: 90.00 90.00 90.00
Sites, in units of the cell vectors:
Mn 0.000 0.000 0.000
In 0.500 0.500 0.000
Fe 0.000 0.500 0.500
Fe 0.500 0.000 0.500

[2]
The following is a DFT calculation (GGA-PBE) of a relaxed structure of GdPaTlPb.

Raw total energy   -7.396 eV/atom
E_form   0.02 eV per atom

abc: 5.420 5.420 5.420
angles: 60.00 60.00 60.00
Sites, in units of the cell vectors:
Gd 0.000 0.000 0.000
Pa 0.500 0.500 0.500
Tl 0.750 0.750 0.750
Pb 0.250 0.250 0.250

[3]
The following is a DFT calculation (GGA-PBE) of a relaxed structure of LiZnAg2F8.

Raw total energy   -3.464 eV/atom
ΔE_f (raw)   -1.48 eV/atom

abc: 6.045 6.045 6.045
angles: 113.79 113.79 101.13
Sites, in units of the cell vectors:
Li 0.000 0.000 0.000
Zn 0.750 0.250 0.500
Ag 0.250 0.750 0.500
Ag 0.500 0.500 0.000
F 0.038 0.343 0.305
F 0.038 0.734 0.695
F 0.081 0.286 0.795
F 0.266 0.962 0.305
F 0.491 0.286 0.205
F 0.657 0.962 0.695
F 0.714 0.509 0.795
F 0.714 0.919 0.205

[4]
The following is a DFT calculation (GGA-PBE) of a relaxed structure of In2TeBr.

Raw total energy   -2.929 eV/atom
ΔE_f (raw)   -0.36 eV/atom

abc: 8.404 8.404 8.404
angles: 30.43 30.43 30.43
Sites, in units of the cell vectors:
In 0.000 0.000 0.000
In 0.178 0.178 0.178
Te 0.594 0.594 0.594
Br 0.417 0.417 0.417

The highest raw total energy belongs to which entry?
In2TeBr

What is the formula in the third record?
LiZnAg2F8